# 1
Material: Rb2GaC2
Method: DFT, PBEsol
State: relaxed

Values from the calculation:
Its energy of formation from the pure elements is 3.74 eV/f.u.

```
data_Rb2GaC2
_chemical_formula_sum 'Rb4 Ga2 C4'
_space_group_name_H-M_alt 'I 4/m m m'
_space_group_IT_number 139
_space_group_name_Hall '-I 4 2'
_cell_length_a 5.996
_cell_length_b 5.996
_cell_length_c 6.977
_cell_angle_alpha 90.00
_cell_angle_beta 90.00
_cell_angle_gamma 90.00
loop_
_atom_site_label
_atom_site_fract_x
_atom_site_fract_y
_atom_site_fract_z
_atom_site_occupancy
Rb1 0.000 0.500 0.250 1
Ga1 0.000 0.000 0.000 1
C1 0.000 0.000 0.409 1
```



# 2
Material: GaRh3C
Method: DFT, PBEsol
State: relaxed

Values from the calculation:
Its energy of formation from the pure elements is -0.74 eV/f.u.

```
data_GaRh3C
_chemical_formula_sum 'Ga1 Rh3 C1'
_space_group_name_H-M_alt 'P m -3 m'
_space_group_IT_number 221
_space_group_name_Hall '-P 4 2 3'
_cell_length_a 3.994
_cell_length_b 3.994
_cell_length_c 3.994
_cell_angle_alpha 90.00
_cell_angle_beta 90.00
_cell_angle_gamma 90.00
loop_
_atom_site_label
_atom_site_fract_x
_atom_site_fract_y
_atom_site_fract_z
_atom_site_occupancy
Ga1 0.000 0.000 0.000 1
Rh1 0.000 0.500 0.500 1
C1 0.500 0.500 0.500 1
```



# 3
Material: GaC3S
Method: DFT, PBEsol
State: relaxed

Values from the calculation:
The raw formation energy comes out at 11.71 eV per formula unit.

```
data_GaC3S
_chemical_formula_sum 'Ga1 C3 S1'
_space_group_name_H-M_alt 'P m -3 m'
_space_group_IT_number 221
_space_group_name_Hall '-P 4 2 3'
_cell_length_a 3.615
_cell_length_b 3.615
_cell_length_c 3.615
_cell_angle_alpha 90.00
_cell_angle_beta 90.00
_cell_angle_gamma 90.00
loop_
_atom_site_label
_atom_site_fract_x
_atom_site_fract_y
_atom_site_fract_z
_atom_site_occupancy
Ga1 0.000 0.000 0.000 1
C1 0.000 0.500 0.500 1
S1 0.500 0.500 0.500 1
```



# 4
Material: GaCS2
Method: DFT, PBEsol
State: relaxed

Values from the calculation:
The raw formation energy comes out at 3.46 eV per formula unit.

```
data_GaCS2
_chemical_formula_sum 'Ga4 C4 S8'
_space_group_name_H-M_alt 'I -4 2 d'
_space_group_IT_number 122
_space_group_name_Hall 'I -4 2bw'
_cell_length_a 4.655
_cell_length_b 4.655
_cell_length_c 11.742
_cell_angle_alpha 90.00
_cell_angle_beta 90.00
_cell_angle_gamma 90.00
loop_
_atom_site_label
_atom_site_fract_x
_atom_site_fract_y
_atom_site_fract_z
_atom_site_occupancy
Ga1 0.000 0.000 0.000 1
C1 0.000 0.000 0.500 1
S1 0.183 0.250 0.625 1
```



N(E_F), record by record: 0.71, 0.29, 0.44, 0.42 states/eV/atom